*i*
ZnSnAsN | PBE | optimized geometry

Values from the calculation:
**Crystal system**: orthorhombic
**Calculated volume**: 19.14 Å³/atom

Geometry as extended XYZ:
```
8
Lattice="-2.6385 2.6847 5.4029 2.6385 -2.6847 5.4029 2.6385 2.6847 -5.4029" Properties=species:S:1:pos:R:3 pbc="T T T"
As 1.5810 2.6847 2.7014
Sn 0.0000 1.3423 4.2277
Zn 2.6385 1.3423 0.9252
Sn 0.0000 4.0270 1.1752
Zn 2.6385 -1.3423 4.4777
N -1.3192 2.6430 5.4029
N 1.3192 0.0416 5.4029
As 3.6959 0.0000 2.7014
```

---

*ii*
ZnSnAsN | PBE | optimized geometry

Values from the calculation:
**Crystal system**: monoclinic
**Calculated volume**: 18.94 Å³/atom

Geometry as extended XYZ:
```
8
Lattice="3.7989 -3.8094 0.0000 3.7989 3.8094 0.0000 -3.7886 0.0000 5.2361" Properties=species:S:1:pos:R:3 pbc="T T T"
Zn 0.7020 -2.5199 2.6026
Zn -1.1923 2.5199 5.2207
As 0.8831 2.9754 3.9334
Sn 3.1229 -0.7531 0.0138
N 1.0111 -0.9536 3.9225
As 2.7773 -2.9754 1.3153
N 2.9054 0.9536 1.3044
Sn 1.2286 0.7531 2.6318
```

---

It turns out *ii* is the most stable, with the second structure 9.1 kJ/mol of atoms higher.

---

*i*
NaZnNiAs | PBE | optimized geometry

Values from the calculation:
**Crystal system**: cubic
**Calculated volume**: 16.13 Å³/atom

Geometry as extended XYZ:
```
4
Lattice="0.0000 3.1837 3.1837 3.1837 0.0000 3.1837 3.1837 3.1837 0.0000" Properties=species:S:1:pos:R:3 pbc="T T T"
As 0.0000 0.0000 0.0000
Na 4.7755 4.7755 4.7755
Zn 1.5918 1.5918 1.5918
Ni 3.1837 3.1837 3.1837
```

---

*ii*
NaZnNiAs | PBE | optimized geometry

Values from the calculation:
**Crystal system**: cubic
**Calculated volume**: 15.95 Å³/atom

Geometry as extended XYZ:
```
4
Lattice="-1.7293 -3.1432 2.6923 -0.2201 0.7097 4.4235 -3.9739 0.6721 1.9685" Properties=species:S:1:pos:R:3 pbc="T T T"
Na -4.4426 -1.3211 6.8133
As -1.4809 -0.4404 2.2711
Ni -2.9617 -0.8807 4.5422
Zn 0.0000 0.0000 0.0000
```

---

It turns out *ii* is the most stable, with the second structure 6.2 kJ/mol of atoms higher.

---

*i*
NaAsPdO | PBE | optimized geometry

Values from the calculation:
**Crystal system**: tetragonal
**Calculated volume**: 15.53 Å³/atom

Geometry as extended XYZ:
```
8
Lattice="-1.8687 0.8813 3.1494 -3.2555 -0.8472 -1.6946 0.7252 -8.2852 2.7486" Properties=species:S:1:pos:R:3 pbc="T T T"
O -2.5621 0.0171 0.7274
Pd -0.8336 -0.7108 1.9567
Na 0.3626 -4.1426 1.3743
Pd -1.0033 -7.5574 1.5194
As -0.3852 -5.8331 3.6561
O 0.0000 0.0000 0.0000
Na -2.1995 -4.1255 2.1017
As -1.4517 -2.4350 -0.1800
```

---

*ii*
NaAsPdO | PBE | optimized geometry

Values from the calculation:
**Crystal system**: orthorhombic
**Calculated volume**: 17.68 Å³/atom

Geometry as extended XYZ:
```
8
Lattice="3.3909 0.0000 0.0000 0.0000 6.9976 0.0000 0.0000 0.0000 5.9624" Properties=species:S:1:pos:R:3 pbc="T T T"
Na 0.0000 0.7926 2.4050
As 0.0000 2.1886 5.2083
Na 0.0000 6.2050 5.3863
O 1.6954 2.1067 2.1650
Pd 1.6954 3.4974 0.6797
As 0.0000 4.8090 2.2271
O 1.6954 4.8909 5.1462
Pd 1.6954 3.5002 3.6609
```

---

*iii*
NaAsPdO | PBE | optimized geometry

Values from the calculation:
**Crystal system**: orthorhombic
**Calculated volume**: 19.37 Å³/atom

Geometry as extended XYZ:
```
8
Lattice="-2.5113 -1.3040 2.5632 0.1399 -5.7709 -2.7989 4.7644 -1.7233 3.7913" Properties=species:S:1:pos:R:3 pbc="T T T"
As 3.9782 -4.9843 1.3620
Pd 4.5497 -3.2009 2.8292
Pd 2.2314 -4.9721 -0.3433
O 3.1533 -3.3245 4.2417
Na -0.7989 -5.7872 -0.8835
O 0.8583 -6.0591 0.6019
Na 1.4801 -2.3918 3.0769
As 1.5625 -2.7401 0.1369
```

---

It turns out *ii* is the most stable, with the second structure 19.3 kJ/mol of atoms higher.

---

*i*
NaPmAsO | PBE | optimized geometry

Values from the calculation:
**Crystal system**: tetragonal
**Calculated volume**: 20.87 Å³/atom

Geometry as extended XYZ:
```
8
Lattice="-0.7055 1.0850 3.7768 -1.5753 -3.5935 0.7380 9.4471 -3.5684 2.7898" Properties=species:S:1:pos:R:3 pbc="T T T"
O -0.9230 -0.0847 3.0172
As 6.0985 -3.1461 3.0980
Na 3.3657 -4.2081 2.8926
Pm 6.6827 -5.0517 5.8648
As 1.0678 -2.9309 4.2066
O -1.3579 -2.4239 1.4977
Na 3.8006 -1.8688 4.4120
Pm 0.4836 -1.0252 1.4399
```

---

*ii*
NaPmAsO | PBE | optimized geometry

Values from the calculation:
**Crystal system**: orthorhombic
**Calculated volume**: 25.12 Å³/atom

Geometry as extended XYZ:
```
8
Lattice="3.6615 0.0000 0.0000 0.0000 8.1296 0.0000 0.0000 0.0000 6.7502" Properties=species:S:1:pos:R:3 pbc="T T T"
Pm 1.8307 7.1772 0.2756
Pm 1.8307 0.9524 3.6506
Na 0.0000 2.3263 6.4709
O 1.8307 0.8981 5.8524
As 0.0000 5.1621 5.9912
As 0.0000 2.9675 2.6161
O 1.8307 7.2316 2.4773
Na 0.0000 5.8033 3.0958
```

---

It turns out *i* is the most stable, with the second structure 30.0 kJ/mol of atoms higher.